Entry 1:
# Nd3BiO6 PBE-GGA relaxed
# **Energy relative to the elements, uncorrected**: -2.81 eV/atom
# **D(E_F)**: 0.00 states/eV/f.u.
# **Mass density**: 6.987 Mg/m³
# **ΔE to the lowest computed polymorph**: 0.000 eV/atom
data_Nd3BiO6
_cell_length_a 10.1192
_cell_length_b 10.1192
_cell_length_c 11.8627
_cell_angle_alpha 90.00
_cell_angle_beta 90.00
_cell_angle_gamma 120.00
_symmetry_space_group_name_H-M 'R -3'
_symmetry_Int_Tables_number 148
_symmetry_space_group_name_Hall '-R 3'
loop_
_atom_site_label
_atom_site_fract_x
_atom_site_fract_y
_atom_site_fract_z
Nd1 0.0387 0.2650 0.2095
Bi1 0.0000 0.0000 0.0000
Bi2 0.0000 0.0000 0.5000
O1 0.0263 0.2216 0.4039
O2 0.0281 0.1877 0.8675



Entry 2:
# Nd2BiO PBE-GGA relaxed
# **Energy relative to the elements, uncorrected**: -1.89 eV/atom
# **D(E_F)**: 1.67 states/eV/f.u.
# **Mass density**: 8.419 Mg/m³
# **ΔE to the lowest computed polymorph**: 0.000 eV/atom
data_Nd2BiO
_cell_length_a 4.689
_cell_length_b 4.689
_cell_length_c 9.214
_cell_angle_alpha 90.00
_cell_angle_beta 90.00
_cell_angle_gamma 90.00
_symmetry_space_group_name_H-M 'P 4/n m m'
_symmetry_Int_Tables_number 129
loop_
_symmetry_equiv_pos_as_xyz
'x,y,z'
'-x,-y,-z'
'-y+1/2,x,z'
'y+1/2,-x,-z'
'-x+1/2,-y+1/2,z'
'x+1/2,y+1/2,-z'
'y,-x+1/2,z'
'-y,x+1/2,-z'
'x+1/2,-y,-z'
'-x+1/2,y,z'
'-y,-x,-z'
'y,x,z'
'-x,y+1/2,-z'
'x,-y+1/2,z'
'y+1/2,x+1/2,-z'
'-y+1/2,-x+1/2,z'
loop_
_atom_site_label
_atom_site_fract_x
_atom_site_fract_y
_atom_site_fract_z
Nd1 0.250 0.250 0.160
Nd2 0.250 0.750 0.500
Bi1 0.250 0.250 0.798
O1 0.250 0.250 0.423